Si2Se | PBE-GGA | relaxed

Geometry as CIF:
```
data_Si2Se
_cell_length_a 3.3006
_cell_length_b 13.6493
_cell_length_c 4.6684
_cell_angle_alpha 90.00
_cell_angle_beta 90.00
_cell_angle_gamma 90.00
_symmetry_space_group_name_H-M 'C m m m'
_symmetry_Int_Tables_number 65
_symmetry_space_group_name_Hall '-C 2 2'
loop_
_atom_site_label
_atom_site_fract_x
_atom_site_fract_y
_atom_site_fract_z
Si1 0.0000 0.0000 0.0000
Si2 0.0000 0.1752 0.5000
Si3 0.0000 0.5000 0.5000
Se1 0.0000 0.3537 0.0000
```

E_form (uncorrected) (eV per atom): 0.494
Crystal system: orthorhombic
ΔE to the lowest computed polymorph (meV/atom): 663

---

TaTiTlO5 | PBE-GGA | relaxed

Geometry as CIF:
```
data_TaTiTlO5
_cell_length_a 6.5121
_cell_length_b 3.8267
_cell_length_c 19.2838
_cell_angle_alpha 90.00
_cell_angle_beta 90.00
_cell_angle_gamma 90.00
_symmetry_space_group_name_H-M 'P n m a'
_symmetry_Int_Tables_number 62
_symmetry_space_group_name_Hall '-P 2ac 2n'
loop_
_atom_site_label
_atom_site_fract_x
_atom_site_fract_y
_atom_site_fract_z
Ta1 0.2242 0.2500 0.1049
Ti1 0.1801 0.2500 0.4661
Tl1 0.2347 0.2500 0.7994
O1 0.0327 0.2500 0.3836
O2 0.0651 0.7500 0.9308
O3 0.1463 0.7500 0.4917
O4 0.1603 0.2500 0.1968
O5 0.2385 0.7500 0.0773
```

E_form (uncorrected) (eV per atom): -2.559
Crystal system: orthorhombic

---

Sm2AlI | PBE-GGA | relaxed

Geometry as CIF:
```
data_Sm2AlI
_cell_length_a 3.8908
_cell_length_b 3.8908
_cell_length_c 26.8754
_cell_angle_alpha 90.00
_cell_angle_beta 90.00
_cell_angle_gamma 120.00
_symmetry_space_group_name_H-M 'R 3 m'
_symmetry_Int_Tables_number 160
_symmetry_space_group_name_Hall 'R 3 -2"'
loop_
_atom_site_label
_atom_site_fract_x
_atom_site_fract_y
_atom_site_fract_z
Sm1 0.0000 0.0000 0.0000
Sm2 0.0000 0.0000 0.1795
Al1 0.0000 0.0000 0.5901
I1 0.0000 0.0000 0.4223
```

E_form (uncorrected) (eV per atom): -0.562
Crystal system: trigonal
ΔE to the lowest computed polymorph (meV/atom): 0

---

FeRhN | PBE-GGA | relaxed

Geometry as CIF:
```
data_FeRhN
_cell_length_a 2.9666
_cell_length_b 2.9666
_cell_length_c 15.7280
_cell_angle_alpha 90.00
_cell_angle_beta 90.00
_cell_angle_gamma 90.00
_symmetry_space_group_name_H-M 'I 4/m m m'
_symmetry_Int_Tables_number 139
_symmetry_space_group_name_Hall '-I 4 2'
loop_
_atom_site_label
_atom_site_fract_x
_atom_site_fract_y
_atom_site_fract_z
Fe1 0.0000 0.0000 0.2086
Rh1 0.0000 0.0000 0.4094
N1 0.0000 0.0000 0.0955
```

E_form (uncorrected) (eV per atom): 0.362
Crystal system: tetragonal

---

CaZnPb | PBE-GGA | relaxed

Geometry as CIF:
```
data_CaZnPb
_cell_length_a 8.8407
_cell_length_b 8.1679
_cell_length_c 5.5497
_cell_angle_alpha 90.00
_cell_angle_beta 128.72
_cell_angle_gamma 90.00
_symmetry_space_group_name_H-M 'C 1 c 1'
_symmetry_Int_Tables_number 9
_symmetry_space_group_name_Hall 'C -2yc'
loop_
_atom_site_label
_atom_site_fract_x
_atom_site_fract_y
_atom_site_fract_z
Ca1 0.0000 0.1514 0.0000
Zn1 0.3926 0.0001 0.1423
Pb1 0.2248 0.2980 0.7245
```

Crystal system: monoclinic
DFT formation energy (eV per atom): -0.28

---

Th4Ge3Se | PBE-GGA | relaxed

Geometry as CIF:
```
data_Th4Ge3Se
_cell_length_a 6.0540
_cell_length_b 6.0540
_cell_length_c 12.1387
_cell_angle_alpha 90.00
_cell_angle_beta 90.00
_cell_angle_gamma 90.00
_symmetry_space_group_name_H-M 'I 4/m m m'
_symmetry_Int_Tables_number 139
_symmetry_space_group_name_Hall '-I 4 2'
loop_
_atom_site_label
_atom_site_fract_x
_atom_site_fract_y
_atom_site_fract_z
Th1 0.0000 0.0000 0.2460
Th2 0.0000 0.5000 0.0000
Ge1 0.0000 0.0000 0.0000
Ge2 0.0000 0.5000 0.2500
Se1 0.0000 0.0000 0.5000
```

E_form (uncorrected) (eV per atom): -1.025
Crystal system: tetragonal

---

AlOsPb2 | PBE-GGA | relaxed

Geometry as CIF:
```
data_AlOsPb2
_cell_length_a 5.9684
_cell_length_b 8.0518
_cell_length_c 3.5791
_cell_angle_alpha 90.00
_cell_angle_beta 96.24
_cell_angle_gamma 90.00
_symmetry_space_group_name_H-M 'C 1 2/m 1'
_symmetry_Int_Tables_number 12
_symmetry_space_group_name_Hall '-C 2y'
loop_
_atom_site_label
_atom_site_fract_x
_atom_site_fract_y
_atom_site_fract_z
Al1 0.0000 0.0000 0.0000
Os1 0.0000 0.5000 0.0000
Pb1 0.2500 0.2500 0.5000
```

Crystal system: monoclinic
DFT formation energy (eV per atom): 0.82

---

Pr8Nd2Y3 | PBE-GGA | relaxed

Geometry as CIF:
```
data_Pr8Nd2Y3
_cell_length_a 20.8995
_cell_length_b 7.7773
_cell_length_c 5.7915
_cell_angle_alpha 90.00
_cell_angle_beta 90.03
_cell_angle_gamma 90.00
_symmetry_space_group_name_H-M 'C 1 2/m 1'
_symmetry_Int_Tables_number 12
_symmetry_space_group_name_Hall '-C 2y'
loop_
_atom_site_label
_atom_site_fract_x
_atom_site_fract_y
_atom_site_fract_z
Pr1 0.1041 0.2041 0.0002
Pr2 0.1311 0.5000 0.4994
Pr3 0.1716 0.0000 0.5009
Nd1 0.2402 0.5000 0.9987
Y1 0.0000 0.2162 0.5000
Y2 0.0000 0.5000 0.0000
```

Crystal system: monoclinic
ΔE to the lowest computed polymorph (meV/atom): 123
DFT formation energy (eV per atom): 0.19

---

Ac4NiPSe2 | PBE-GGA | relaxed

Geometry as CIF:
```
data_Ac4NiPSe2
_cell_length_a 7.7321
_cell_length_b 4.3466
_cell_length_c 7.8134
_cell_angle_alpha 90.00
_cell_angle_beta 108.67
_cell_angle_gamma 90.00
_symmetry_space_group_name_H-M 'P 1 2/m 1'
_symmetry_Int_Tables_number 10
_symmetry_space_group_name_Hall '-P 2y'
loop_
_atom_site_label
_atom_site_fract_x
_atom_site_fract_y
_atom_site_fract_z
Ac1 0.2369 0.0000 0.2272
Ac2 0.2556 0.5000 0.7649
Ni1 0.0000 0.5000 0.0000
P1 0.5000 0.0000 0.0000
Se1 0.0000 0.0000 0.5000
Se2 0.5000 0.5000 0.5000
```

E_form (uncorrected) (eV per atom): -1.332
Crystal system: monoclinic

---

CoNi2PI | PBE-GGA | relaxed

Geometry as CIF:
```
data_CoNi2PI
_cell_length_a 4.3299
_cell_length_b 4.3299
_cell_length_c 4.3115
_cell_angle_alpha 90.00
_cell_angle_beta 90.00
_cell_angle_gamma 90.00
_symmetry_space_group_name_H-M 'P 4/m m m'
_symmetry_Int_Tables_number 123
_symmetry_space_group_name_Hall '-P 4 2'
loop_
_atom_site_label
_atom_site_fract_x
_atom_site_fract_y
_atom_site_fract_z
Co1 0.0000 0.0000 0.0000
Ni1 0.0000 0.5000 0.5000
P1 0.0000 0.0000 0.5000
I1 0.5000 0.5000 0.0000
```

E_form (uncorrected) (eV per atom): 0.354
Crystal system: tetragonal

---

Tm2Re3Mo | PBE-GGA | relaxed

Geometry as CIF:
```
data_Tm2Re3Mo
_cell_length_a 9.3362
_cell_length_b 5.4042
_cell_length_c 5.4229
_cell_angle_alpha 90.00
_cell_angle_beta 125.10
_cell_angle_gamma 90.00
_symmetry_space_group_name_H-M 'C 1 2/m 1'
_symmetry_Int_Tables_number 12
_symmetry_space_group_name_Hall '-C 2y'
loop_
_atom_site_label
_atom_site_fract_x
_atom_site_fract_y
_atom_site_fract_z
Tm1 0.1241 0.0000 0.3730
Re1 0.0000 0.5000 0.0000
Re2 0.2500 0.2500 0.0000
Mo1 0.0000 0.5000 0.5000
```

Crystal system: monoclinic
DFT formation energy (eV per atom): -0.22

---

Tl2CoIr | PBE-GGA | relaxed

Geometry as CIF:
```
data_Tl2CoIr
_cell_length_a 3.9764
_cell_length_b 3.9764
_cell_length_c 9.2404
_cell_angle_alpha 90.00
_cell_angle_beta 90.00
_cell_angle_gamma 90.00
_symmetry_space_group_name_H-M 'I -4 m 2'
_symmetry_Int_Tables_number 119
_symmetry_space_group_name_Hall 'I -4 -2'
loop_
_atom_site_label
_atom_site_fract_x
_atom_site_fract_y
_atom_site_fract_z
Tl1 0.0000 0.0000 0.0000
Tl2 0.0000 0.5000 0.2500
Co1 0.0000 0.5000 0.7500
Ir1 0.0000 0.0000 0.5000
```

Crystal system: tetragonal
ΔE to the lowest computed polymorph (meV/atom): 262
DFT formation energy (eV per atom): 0.67

---

Nb2Ir4Rh | PBE-GGA | relaxed

Geometry as CIF:
```
data_Nb2Ir4Rh
_cell_length_a 4.9374
_cell_length_b 8.5816
_cell_length_c 5.5282
_cell_angle_alpha 90.00
_cell_angle_beta 102.57
_cell_angle_gamma 90.00
_symmetry_space_group_name_H-M 'P 1 21/c 1'
_symmetry_Int_Tables_number 14
_symmetry_space_group_name_Hall '-P 2ybc'
loop_
_atom_site_label
_atom_site_fract_x
_atom_site_fract_y
_atom_site_fract_z
Nb1 0.0979 0.0239 0.2686
Ir1 0.1849 0.7472 0.0238
Ir2 0.3542 0.2128 0.6342
Rh1 0.5000 0.0000 0.0000
```

Crystal system: monoclinic
DFT formation energy (eV per atom): -0.22

---

CsHg4H | PBE-GGA | relaxed

Geometry as CIF:
```
data_CsHg4H
_cell_length_a 11.5498
_cell_length_b 9.0080
_cell_length_c 7.8863
_cell_angle_alpha 90.00
_cell_angle_beta 110.18
_cell_angle_gamma 90.00
_symmetry_space_group_name_H-M 'C 1 2/c 1'
_symmetry_Int_Tables_number 15
_symmetry_space_group_name_Hall '-C 2yc'
loop_
_atom_site_label
_atom_site_fract_x
_atom_site_fract_y
_atom_site_fract_z
Cs1 0.0000 0.0000 0.0000
Hg1 0.1426 0.3552 0.3610
Hg2 0.1774 0.3187 0.8127
H1 0.0000 0.2436 0.7500
```

Crystal system: monoclinic
Uncorrected energy (eV per atom): -0.95

---

TlCrW2 | PBE-GGA | relaxed

Geometry as CIF:
```
data_TlCrW2
_cell_length_a 3.2781
_cell_length_b 3.2781
_cell_length_c 6.2960
_cell_angle_alpha 90.00
_cell_angle_beta 90.00
_cell_angle_gamma 90.00
_symmetry_space_group_name_H-M 'P 4 m m'
_symmetry_Int_Tables_number 99
_symmetry_space_group_name_Hall 'P 4 -2'
loop_
_atom_site_label
_atom_site_fract_x
_atom_site_fract_y
_atom_site_fract_z
Tl1 0.0000 0.0000 0.0000
Cr1 0.5000 0.5000 0.7220
W1 0.0000 0.0000 0.5236
W2 0.5000 0.5000 0.3041
```

Crystal system: tetragonal
ΔE to the lowest computed polymorph (meV/atom): 14
DFT formation energy (eV per atom): 0.62

---

Y2Co5SiB2 | PBE-GGA | relaxed

Geometry as CIF:
```
data_Y2Co5SiB2
_cell_length_a 8.9121
_cell_length_b 8.9121
_cell_length_c 3.0465
_cell_angle_alpha 90.00
_cell_angle_beta 90.00
_cell_angle_gamma 90.00
_symmetry_space_group_name_H-M 'P 4/m b m'
_symmetry_Int_Tables_number 127
_symmetry_space_group_name_Hall '-P 4 2ab'
loop_
_atom_site_label
_atom_site_fract_x
_atom_site_fract_y
_atom_site_fract_z
Y1 0.1780 0.3220 0.0000
Co1 0.0000 0.5000 0.5000
Co2 0.0669 0.7787 0.5000
Si1 0.0000 0.0000 0.0000
B1 0.1181 0.6181 0.0000
```

E_form (uncorrected) (eV per atom): -0.402
Crystal system: tetragonal

---

SmHgPtPb | PBE-GGA | relaxed

Geometry as CIF:
```
data_SmHgPtPb
_cell_length_a 7.2352
_cell_length_b 7.2352
_cell_length_c 7.2352
_cell_angle_alpha 90.00
_cell_angle_beta 90.00
_cell_angle_gamma 90.00
_symmetry_space_group_name_H-M 'F -4 3 m'
_symmetry_Int_Tables_number 216
_symmetry_space_group_name_Hall 'F -4 2 3'
loop_
_atom_site_label
_atom_site_fract_x
_atom_site_fract_y
_atom_site_fract_z
Sm1 0.0000 0.0000 0.0000
Hg1 0.2500 0.2500 0.2500
Pt1 0.2500 0.2500 0.7500
Pb1 0.0000 0.0000 0.5000
```

Crystal system: cubic
DFT formation energy (eV per atom): -0.52

---

SmNCl | PBE-GGA | relaxed

Geometry as CIF:
```
data_SmNCl
_cell_length_a 3.6635
_cell_length_b 3.6635
_cell_length_c 18.6684
_cell_angle_alpha 90.00
_cell_angle_beta 90.00
_cell_angle_gamma 90.00
_symmetry_space_group_name_H-M 'I 4/m m m'
_symmetry_Int_Tables_number 139
_symmetry_space_group_name_Hall '-I 4 2'
loop_
_atom_site_label
_atom_site_fract_x
_atom_site_fract_y
_atom_site_fract_z
Sm1 0.0000 0.0000 0.0838
N1 0.0000 0.5000 0.0000
Cl1 0.0000 0.0000 0.3370
```

E_form (uncorrected) (eV per atom): -1.267
Crystal system: tetragonal

---

KPm2CdO5 | PBE-GGA | relaxed

Geometry as CIF:
```
data_KPm2CdO5
_cell_length_a 6.8031
_cell_length_b 6.8031
_cell_length_c 12.4606
_cell_angle_alpha 90.00
_cell_angle_beta 90.00
_cell_angle_gamma 90.00
_symmetry_space_group_name_H-M 'I 4/m c m'
_symmetry_Int_Tables_number 140
_symmetry_space_group_name_Hall '-I 4 2c'
loop_
_atom_site_label
_atom_site_fract_x
_atom_site_fract_y
_atom_site_fract_z
K1 0.0000 0.0000 0.2500
Pm1 0.1708 0.3292 0.0000
Cd1 0.0000 0.5000 0.2500
O1 0.0000 0.0000 0.0000
O2 0.1443 0.3557 0.3844
```

E_form (uncorrected) (eV per atom): -2.233
Crystal system: tetragonal

---

V3Ge | PBE-GGA | relaxed

Geometry as CIF:
```
data_V3Ge
_cell_length_a 4.7600
_cell_length_b 4.7600
_cell_length_c 4.7600
_cell_angle_alpha 90.00
_cell_angle_beta 90.00
_cell_angle_gamma 90.00
_symmetry_space_group_name_H-M 'P m -3 n'
_symmetry_Int_Tables_number 223
_symmetry_space_group_name_Hall '-P 4n 2 3'
loop_
_atom_site_label
_atom_site_fract_x
_atom_site_fract_y
_atom_site_fract_z
V1 0.0000 0.2500 0.5000
Ge1 0.0000 0.0000 0.0000
```

Crystal system: cubic
DFT formation energy (eV per atom): -0.33

---

SrLaY4Se8 | PBE-GGA | relaxed

Geometry as CIF:
```
data_SrLaY4Se8
_cell_length_a 8.5427
_cell_length_b 8.5427
_cell_length_c 21.4163
_cell_angle_alpha 90.00
_cell_angle_beta 90.00
_cell_angle_gamma 120.00
_symmetry_space_group_name_H-M 'R 3 m'
_symmetry_Int_Tables_number 160
_symmetry_space_group_name_Hall 'R 3 -2"'
loop_
_atom_site_label
_atom_site_fract_x
_atom_site_fract_y
_atom_site_fract_z
Sr1 0.0000 0.0000 0.0000
La1 0.0000 0.0000 0.6287
Y1 0.0000 0.0000 0.2531
Y2 0.1687 0.3374 0.4599
Se1 0.0000 0.0000 0.3849
Se2 0.0000 0.0000 0.8632
Se3 0.0295 0.5147 0.3856
Se4 0.1732 0.3463 0.2045
```

E_form (uncorrected) (eV per atom): -1.825
Crystal system: trigonal

---

CdAs | PBE-GGA | relaxed

Geometry as CIF:
```
data_CdAs
_cell_length_a 2.9804
_cell_length_b 2.9804
_cell_length_c 5.5685
_cell_angle_alpha 90.00
_cell_angle_beta 90.00
_cell_angle_gamma 120.00
_symmetry_space_group_name_H-M 'P -6 m 2'
_symmetry_Int_Tables_number 187
_symmetry_space_group_name_Hall 'P -6 2'
loop_
_atom_site_label
_atom_site_fract_x
_atom_site_fract_y
_atom_site_fract_z
Cd1 0.0000 0.0000 0.0000
As1 0.3333 0.6667 0.5000
```

Crystal system: hexagonal
ΔE to the lowest computed polymorph (meV/atom): 327
DFT formation energy (eV per atom): 0.25

---

Mg2InGaAg5 | PBE-GGA | relaxed

Geometry as CIF:
```
data_Mg2InGaAg5
_cell_length_a 2.9829
_cell_length_b 17.1509
_cell_length_c 13.3707
_cell_angle_alpha 90.00
_cell_angle_beta 90.00
_cell_angle_gamma 90.00
_symmetry_space_group_name_H-M 'C m c 21'
_symmetry_Int_Tables_number 36
_symmetry_space_group_name_Hall 'C 2c -2'
loop_
_atom_site_label
_atom_site_fract_x
_atom_site_fract_y
_atom_site_fract_z
Mg1 0.0000 0.1224 0.0000
Mg2 0.0000 0.1239 0.3431
In1 0.0000 0.4559 0.0220
Ga1 0.0000 0.2792 0.6730
Ag1 0.0000 0.1191 0.6844
Ag2 0.0000 0.2884 0.0077
Ag3 0.0000 0.2911 0.3423
Ag4 0.0000 0.4353 0.6770
Ag5 0.0000 0.4617 0.3406
```

Crystal system: orthorhombic
DFT formation energy (eV per atom): -0.07